(1)
DyHoNiHg after structural relaxation. Source: Alexandria via LeMat-Bulk, functional PBE-GGA.

Computed properties:
VASP energy   -4.181 eV per atom
Calculated volume   22.543 Å³/atom
Formation energy from the elements   -35.3 kJ/mol of atoms
N(E_F)   0.66 states/eV per atom

Unit cell a=7.118 b=7.118 c=7.118 alpha=90.00 beta=90.00 gamma=90.00
Space group F-43m (No. 216)
Asymmetric unit:
Dy 0.000 0.000 0.000 [4 per cell]
Ho 0.000 0.000 0.500 [4 per cell]
Ni 0.250 0.250 0.750 [4 per cell]
Hg 0.250 0.250 0.250 [4 per cell]

---

(2)
DyHo2HgO after structural relaxation. Source: Alexandria via LeMat-Bulk, functional PBE-GGA.

Computed properties:
VASP energy   -5.196 eV per atom
Calculated volume   21.353 Å³/atom
N(E_F)   0.47 states/eV per atom

Unit cell a=4.737 b=4.737 c=4.758 alpha=90.00 beta=90.00 gamma=90.00
Space group P4/mmm (No. 123)
Asymmetric unit:
Dy 0.000 0.000 0.000 [1 per cell]
Ho 0.000 0.500 0.500 [2 per cell]
Hg 0.500 0.500 0.000 [1 per cell]
O 0.000 0.000 0.500 [1 per cell]

---

(3)
DyHoHgOs after structural relaxation. Source: Alexandria via LeMat-Bulk, functional PBE-GGA.

Computed properties:
VASP energy   -5.449 eV per atom
Calculated volume   22.141 Å³/atom
Formation energy from the elements   -26.1 kJ/mol of atoms
N(E_F)   0.86 states/eV per atom

Unit cell a=7.076 b=7.076 c=7.076 alpha=90.00 beta=90.00 gamma=90.00
Space group F-43m (No. 216)
Asymmetric unit:
Dy 0.000 0.000 0.000 [4 per cell]
Ho 0.000 0.000 0.500 [4 per cell]
Hg 0.250 0.250 0.750 [4 per cell]
Os 0.250 0.250 0.250 [4 per cell]

---

(4)
DyHoHgOs after structural relaxation. Source: Alexandria via LeMat-Bulk, functional PBE-GGA.

Computed properties:
VASP energy   -5.570 eV per atom
Calculated volume   22.660 Å³/atom
Formation energy from the elements   -37.8 kJ/mol of atoms
N(E_F)   0.74 states/eV per atom

Unit cell a=3.446 b=3.446 c=7.633 alpha=90.00 beta=90.00 gamma=90.00
Space group P4mm (No. 99)
Asymmetric unit:
Dy 0.000 0.000 0.000 [1 per cell]
Ho 0.000 0.000 0.565 [1 per cell]
Hg 0.500 0.500 0.285 [1 per cell]
Os 0.500 0.500 0.781 [1 per cell]

---

(5)
DyHoHgPb after structural relaxation. Source: Alexandria via LeMat-Bulk, functional PBE-GGA.

Computed properties:
VASP energy   -3.740 eV per atom
Calculated volume   26.786 Å³/atom
Formation energy from the elements   -42.7 kJ/mol of atoms
N(E_F)   1.23 states/eV per atom

Unit cell a=7.539 b=7.539 c=7.539 alpha=90.00 beta=90.00 gamma=90.00
Space group F-43m (No. 216)
Asymmetric unit:
Dy 0.000 0.000 0.000 [4 per cell]
Ho 0.000 0.000 0.500 [4 per cell]
Hg 0.250 0.250 0.750 [4 per cell]
Pb 0.250 0.250 0.250 [4 per cell]

---

(6)
DyHoHgPb after structural relaxation. Source: Alexandria via LeMat-Bulk, functional PBE-GGA.

Computed properties:
VASP energy   -3.749 eV per atom
Calculated volume   26.833 Å³/atom
Formation energy from the elements   -43.6 kJ/mol of atoms
N(E_F)   0.87 states/eV per atom

Unit cell a=3.940 b=5.219 c=5.220 alpha=90.00 beta=90.00 gamma=90.00
Space group Pmmm (No. 47)
Asymmetric unit:
Dy 0.000 0.000 0.000 [1 per cell]
Ho 0.000 0.500 0.500 [1 per cell]
Hg 0.500 0.000 0.500 [1 per cell]
Pb 0.500 0.500 0.000 [1 per cell]

---

(7)
PmDy2HoHg4 after structural relaxation. Source: Alexandria via LeMat-Bulk, functional PBE-GGA.

Computed properties:
VASP energy   -2.942 eV per atom
Calculated volume   26.203 Å³/atom
Formation energy from the elements   -45.8 kJ/mol of atoms
N(E_F)   1.10 states/eV per atom

Unit cell a=5.2840 b=5.2840 c=26.0076 alpha=90.00 beta=90.00 gamma=120.00
Space group R-3m (No. 166, hexagonal axes)
Asymmetric unit:
Pm 0.0000 0.0000 0.0000 [3 per cell]
Dy 0.0000 0.0000 0.2494 [6 per cell]
Ho 0.0000 0.0000 0.5000 [3 per cell]
Hg 0.0000 0.0000 0.1266 [6 per cell]
Hg 0.0000 0.0000 0.3771 [6 per cell]

---

(8)
PmDyHo2Hg4 after structural relaxation. Source: Alexandria via LeMat-Bulk, functional PBE-GGA.

Computed properties:
VASP energy   -2.939 eV per atom
Calculated volume   26.134 Å³/atom
Formation energy from the elements   -45.7 kJ/mol of atoms
N(E_F)   1.07 states/eV per atom

Unit cell a=5.2814 b=5.2814 c=25.9652 alpha=90.00 beta=90.00 gamma=120.00
Space group R-3m (No. 166, hexagonal axes)
Asymmetric unit:
Pm 0.0000 0.0000 0.0000 [3 per cell]
Dy 0.0000 0.0000 0.5000 [3 per cell]
Ho 0.0000 0.0000 0.2495 [6 per cell]
Hg 0.0000 0.0000 0.1264 [6 per cell]
Hg 0.0000 0.0000 0.3768 [6 per cell]

---

(9)
PrDyHo2Hg4 after structural relaxation. Source: Alexandria via LeMat-Bulk, functional PBE-GGA.

Computed properties:
VASP energy   -2.936 eV per atom
Calculated volume   26.431 Å³/atom
Formation energy from the elements   -45.1 kJ/mol of atoms
N(E_F)   1.07 states/eV per atom

Unit cell a=5.2937 b=5.2937 c=26.1385 alpha=90.00 beta=90.00 gamma=120.00
Space group R-3m (No. 166, hexagonal axes)
Asymmetric unit:
Pr 0.0000 0.0000 0.0000 [3 per cell]
Dy 0.0000 0.0000 0.5000 [3 per cell]
Ho 0.0000 0.0000 0.2492 [6 per cell]
Hg 0.0000 0.0000 0.1274 [6 per cell]
Hg 0.0000 0.0000 0.3783 [6 per cell]

---

(10)
DyHoScHg after structural relaxation. Source: Alexandria via LeMat-Bulk, functional PBE-GGA.

Computed properties:
VASP energy   -4.031 eV per atom
Calculated volume   26.273 Å³/atom
Formation energy from the elements   -7.5 kJ/mol of atoms
N(E_F)   1.41 states/eV per atom

Unit cell a=7.491 b=7.491 c=7.491 alpha=90.00 beta=90.00 gamma=90.00
Space group F-43m (No. 216)
Asymmetric unit:
Dy 0.000 0.000 0.000 [4 per cell]
Ho 0.000 0.000 0.500 [4 per cell]
Sc 0.250 0.250 0.750 [4 per cell]
Hg 0.250 0.250 0.250 [4 per cell]

---

> Which of these has the highest calculated volume?

number 6